(1)
# BaTlCu2

An optimized crystal structure of BaTlCu2 (GGA-PBEsol, Alexandria).

Cell lengths 4.220, 6.038, 6.038 Å; angles 38.93, 90.00, 90.00 degrees
Element x y z (fractional)
Ba (0.000, 0.000, 0.000)
Tl (0.500, 0.708, 0.708)
Cu (0.000, 0.273, 0.273)
Cu (0.500, 0.370, 0.370)

Calculated formation energy, meV per atom: 58



(2)
# SrSi3Ni

An optimized crystal structure of SrSi3Ni (GGA-PBEsol, Alexandria).

Cell lengths 5.663, 5.663, 5.663 Å; angles 137.06, 137.06, 62.34 degrees
Element x y z (fractional)
Sr (0.000, 0.000, 0.000)
Si (0.249, 0.749, 0.500)
Si (0.594, 0.594, 0.000)
Si (0.749, 0.249, 0.500)
Ni (0.354, 0.354, 0.000)

VASP energy, eV per atom: -5.582



(3)
# LiAgF2

An optimized crystal structure of LiAgF2 (GGA-PBEsol, Alexandria).

Cell lengths 5.172, 7.122, 5.567 Å; angles 90.00, 90.00, 90.00 degrees
Element x y z (fractional)
Li (0.084, 0.128, 0.000)
Li (0.416, 0.628, 0.500)
Li (0.584, 0.372, 0.000)
Li (0.916, 0.872, 0.500)
Ag (0.059, 0.661, 0.984)
Ag (0.441, 0.161, 0.484)
Ag (0.559, 0.839, 0.984)
Ag (0.941, 0.339, 0.484)
F (0.034, 0.070, 0.683)
F (0.065, 0.642, 0.570)
F (0.435, 0.142, 0.070)
F (0.466, 0.570, 0.183)
F (0.534, 0.430, 0.683)
F (0.565, 0.858, 0.570)
F (0.935, 0.358, 0.070)
F (0.966, 0.930, 0.183)

Polymorph energy (0 for the lowest one), eV/atom: 0.070



(4)
# La2Mg2Cd

An optimized crystal structure of La2Mg2Cd (GGA-PBEsol, Alexandria).

Cell lengths 7.299, 7.299, 5.233 Å; angles 90.00, 90.00, 90.00 degrees
Element x y z (fractional)
La (0.161, 0.339, 0.000)
La (0.339, 0.839, 0.000)
La (0.661, 0.161, 0.000)
La (0.839, 0.661, 0.000)
Mg (0.142, 0.642, 0.500)
Mg (0.358, 0.142, 0.500)
Mg (0.642, 0.858, 0.500)
Mg (0.858, 0.358, 0.500)
Cd (0.000, 0.000, 0.500)
Cd (0.500, 0.500, 0.500)

Calculated formation energy, meV per atom: -103



(5)
# ScTiAl2

An optimized crystal structure of ScTiAl2 (GGA-PBEsol, Alexandria).

Cell lengths 5.893, 5.893, 5.893 Å; angles 102.74, 102.74, 123.99 degrees
Element x y z (fractional)
Sc (0.000, 0.000, 0.000)
Sc (0.750, 0.250, 0.500)
Ti (0.250, 0.750, 0.500)
Ti (0.500, 0.500, 0.000)
Al (0.138, 0.125, 0.513)
Al (0.375, 0.862, 0.987)
Al (0.612, 0.625, 0.487)
Al (0.875, 0.388, 0.013)

Calculated formation energy, meV per atom: 110



(6)
# SrAgSb

An optimized crystal structure of SrAgSb (GGA-PBEsol, Alexandria).

Cell lengths 5.385, 5.385, 6.440 Å; angles 90.00, 90.00, 120.00 degrees
Element x y z (fractional)
Sr (0.333, 0.667, 0.250)
Sr (0.667, 0.333, 0.750)
Ag (0.000, 0.000, 0.000)
Ag (0.000, 0.000, 0.500)
Sb (0.333, 0.667, 0.750)
Sb (0.667, 0.333, 0.250)

VASP energy, eV per atom: -3.622



(7)
# AlIn3As

An optimized crystal structure of AlIn3As (GGA-PBEsol, Alexandria).

Cell lengths 5.154, 5.154, 5.154 Å; angles 90.00, 90.00, 90.00 degrees
Element x y z (fractional)
Al (0.000, 0.000, 0.000)
In (0.000, 0.000, 0.500)
In (0.000, 0.500, 0.000)
In (0.500, 0.000, 0.000)
As (0.500, 0.500, 0.500)

Calculated formation energy, meV per atom: 517
Polymorph energy (0 for the lowest one), eV/atom: 0.000



(8)
# Ni2AgAu

An optimized crystal structure of Ni2AgAu (GGA-PBEsol, Alexandria).

Cell lengths 4.798, 4.798, 4.499 Å; angles 106.18, 106.18, 33.11 degrees
Element x y z (fractional)
Ni (0.000, 0.000, 0.000)
Ni (0.715, 0.715, 0.268)
Ag (0.244, 0.244, 0.791)
Au (0.470, 0.470, 0.475)

Calculated formation energy, meV per atom: 155



(9)
# BaAg2As

An optimized crystal structure of BaAg2As (GGA-PBEsol, Alexandria).

Cell lengths 5.283, 5.283, 5.283 Å; angles 128.90, 114.65, 87.42 degrees
Element x y z (fractional)
Ba (0.000, 0.000, 0.000)
Ag (0.306, 0.806, 0.500)
Ag (0.694, 0.194, 0.500)
As (0.500, 0.500, 0.000)

Calculated formation energy, meV per atom: -127



(10)
# Np3Te4

An optimized crystal structure of Np3Te4 (GGA-PBEsol, Alexandria).

Cell lengths 7.877, 7.877, 7.877 Å; angles 109.47, 109.47, 109.47 degrees
Element x y z (fractional)
Np (0.125, 0.750, 0.875)
Np (0.250, 0.625, 0.375)
Np (0.375, 0.250, 0.625)
Np (0.625, 0.375, 0.250)
Np (0.750, 0.875, 0.125)
Np (0.875, 0.125, 0.750)
Te (0.000, 0.347, 0.500)
Te (0.000, 0.847, 0.500)
Te (0.153, 0.153, 0.153)
Te (0.347, 0.500, 0.000)
Te (0.500, 0.000, 0.347)
Te (0.500, 0.000, 0.847)
Te (0.653, 0.653, 0.653)
Te (0.847, 0.500, 0.000)

VASP energy, eV per atom: -8.402



(11)
# CdHg2Pb

An optimized crystal structure of CdHg2Pb (GGA-PBEsol, Alexandria).

Cell lengths 3.322, 3.322, 9.576 Å; angles 90.00, 90.00, 111.40 degrees
Element x y z (fractional)
Cd (0.000, 0.000, 0.000)
Hg (0.500, 0.500, 0.234)
Hg (0.500, 0.500, 0.766)
Pb (0.000, 0.000, 0.500)

Calculated formation energy, meV per atom: 38



(12)
# Sn2GeOsF

An optimized crystal structure of Sn2GeOsF (GGA-PBEsol, Alexandria).

Cell lengths 4.939, 4.939, 3.997 Å; angles 90.00, 90.00, 90.00 degrees
Element x y z (fractional)
Sn (0.000, 0.500, 0.000)
Sn (0.500, 0.000, 0.000)
Ge (0.000, 0.000, 0.500)
Os (0.500, 0.500, 0.500)
F (0.500, 0.500, 0.000)

VASP energy, eV per atom: -4.990



(13)
# AlAg4

An optimized crystal structure of AlAg4 (GGA-PBEsol, Alexandria).

Cell lengths 7.593, 7.593, 7.593 Å; angles 158.29, 149.84, 37.47 degrees
Element x y z (fractional)
Al (0.000, 0.000, 0.000)
Ag (0.199, 0.199, 0.000)
Ag (0.403, 0.403, 0.000)
Ag (0.597, 0.597, 0.000)
Ag (0.801, 0.801, 0.000)

Calculated formation energy, meV per atom: -56



(14)
# RbPSe3

An optimized crystal structure of RbPSe3 (GGA-PBEsol, Alexandria).

Cell lengths 7.322, 7.322, 19.147 Å; angles 90.00, 90.00, 120.00 degrees
Element x y z (fractional)
Rb (0.266, 0.576, 0.251)
Rb (0.310, 0.734, 0.918)
Rb (0.424, 0.690, 0.585)
Rb (0.576, 0.266, 0.749)
Rb (0.690, 0.424, 0.415)
Rb (0.734, 0.310, 0.082)
P (0.034, 0.109, 0.447)
P (0.075, 0.966, 0.113)
P (0.109, 0.034, 0.553)
P (0.891, 0.925, 0.780)
P (0.925, 0.891, 0.220)
P (0.966, 0.075, 0.887)
Se (0.039, 0.736, 0.774)
Se (0.085, 0.251, 0.721)
Se (0.166, 0.915, 0.388)
Se (0.218, 0.439, 0.424)
Se (0.221, 0.782, 0.091)
Se (0.251, 0.085, 0.279)
Se (0.264, 0.303, 0.107)
Se (0.303, 0.264, 0.893)
Se (0.439, 0.218, 0.576)
Se (0.561, 0.779, 0.757)
Se (0.697, 0.961, 0.441)
Se (0.736, 0.039, 0.226)
Se (0.749, 0.834, 0.054)
Se (0.779, 0.561, 0.243)
Se (0.782, 0.221, 0.909)
Se (0.834, 0.749, 0.946)
Se (0.915, 0.166, 0.612)
Se (0.961, 0.697, 0.559)

VASP energy, eV per atom: -4.175



(15)
# BaSr3Ga

An optimized crystal structure of BaSr3Ga (GGA-PBEsol, Alexandria).

Cell lengths 6.109, 6.109, 6.109 Å; angles 90.00, 90.00, 90.00 degrees
Element x y z (fractional)
Ba (0.000, 0.000, 0.000)
Sr (0.000, 0.000, 0.500)
Sr (0.000, 0.500, 0.000)
Sr (0.500, 0.000, 0.000)
Ga (0.500, 0.500, 0.500)

Calculated formation energy, meV per atom: 926
Polymorph energy (0 for the lowest one), eV/atom: 1.005



(16)
# OsWNO2

An optimized crystal structure of OsWNO2 (GGA-PBEsol, Alexandria).

Cell lengths 3.869, 3.869, 3.841 Å; angles 90.00, 90.00, 90.00 degrees
Element x y z (fractional)
Os (0.000, 0.000, 0.000)
W (0.500, 0.500, 0.500)
N (0.000, 0.000, 0.500)
O (0.000, 0.500, 0.000)
O (0.500, 0.000, 0.000)

VASP energy, eV per atom: -8.220



(17)
# TlHgPb2

An optimized crystal structure of TlHgPb2 (GGA-PBEsol, Alexandria).

Cell lengths 6.317, 6.317, 6.317 Å; angles 145.01, 129.63, 62.80 degrees
Element x y z (fractional)
Tl (0.000, 0.000, 0.000)
Hg (0.235, 0.735, 0.500)
Pb (0.474, 0.474, 0.000)
Pb (0.738, 0.238, 0.500)

Calculated formation energy, meV per atom: 13



(18)
# La2SiIr

An optimized crystal structure of La2SiIr (GGA-PBEsol, Alexandria).

Cell lengths 5.773, 5.773, 5.773 Å; angles 136.93, 136.93, 62.54 degrees
Element x y z (fractional)
La (0.000, 0.000, 0.000)
La (0.750, 0.250, 0.500)
Si (0.500, 0.500, 0.000)
Ir (0.250, 0.750, 0.500)

VASP energy, eV per atom: -6.973



(19)
# NaIr2C2

An optimized crystal structure of NaIr2C2 (GGA-PBEsol, Alexandria).

Cell lengths 7.595, 7.595, 3.142 Å; angles 90.00, 90.00, 90.00 degrees
Element x y z (fractional)
Na (0.000, 0.000, 0.000)
Na (0.500, 0.500, 0.000)
Ir (0.116, 0.384, 0.000)
Ir (0.384, 0.884, 0.000)
Ir (0.616, 0.116, 0.000)
Ir (0.884, 0.616, 0.000)
C (0.204, 0.296, 0.500)
C (0.296, 0.796, 0.500)
C (0.704, 0.204, 0.500)
C (0.796, 0.704, 0.500)

Calculated formation energy, meV per atom: 1140



(20)
# BeFeW2

An optimized crystal structure of BeFeW2 (GGA-PBEsol, Alexandria).

Cell lengths 2.681, 4.092, 4.618 Å; angles 90.00, 99.06, 90.00 degrees
Element x y z (fractional)
Be (0.000, 0.000, 0.000)
Fe (0.012, 0.500, 0.286)
W (0.426, 0.500, 0.815)
W (0.627, 0.000, 0.480)

Calculated formation energy, meV per atom: 112